This record from the Alexandria database describes a relaxed structure of ZrCuCl2. The functional is GGA-PBE.

Structure (POSCAR):
```
ZrCuCl2
1.0
3.2008 0.0000 0.0000
0.0000 4.2185 0.0000
0.0000 0.0000 5.4335
Zr Cu Cl
1 1 2
direct
0.0000 0.0000 0.0000
0.5000 0.0000 0.5000
0.0000 0.5000 0.5000
0.5000 0.5000 0.0000
```

Output
Space-group type: No. 47
Total magnetic moment: 0.00 μB per atom
ΔE_f (raw): -0.28 eV per atom
Mass density: 5.11 g/cm3
DFT total energy: -4.360 eV/atom
Energy relative to the lowest polymorph listed for this composition: 562 meV/atom